1.
First-principles (PBE-GGA) data for a relaxed MgGaNi2 crystal, as listed in OQMD via LeMat-Bulk.

Unit cell a=4.2223 b=4.2223 c=7.1716 alpha=90.00 beta=90.00 gamma=120.00
Last column: nearest neighbours and their distance in Å.
Space group P6_3/mmc (No. 194)
Unique sites:
Mg 0.0000 0.0000 0.0000  6 Ni 2.52
Ga 0.3333 0.6667 0.2500  8 Ni 2.42-2.70
Ni 0.3333 0.6667 0.5869  1 Ni 2.34, 1 Ga 2.42, 3 Mg 2.52

Values from the calculation:
Crystal system: hexagonal

***

2.
First-principles (PBE-GGA) data for a relaxed MgGaNi2 crystal, as listed in OQMD via LeMat-Bulk.

Unit cell a=4.3271 b=4.3271 c=7.0243 alpha=90.00 beta=90.00 gamma=120.00
Last column: nearest neighbours and their distance in Å.
Space group P6_3/mmc (No. 194)
Unique sites:
Mg 0.0000 0.0000 0.2500  3 Ga 2.50, 6 Ni 2.76
Ga 0.3333 0.6667 0.2500  2 Ni 2.33, 3 Mg 2.50
Ni 0.3333 0.6667 0.5822  1 Ga 2.33, 1 Ni 2.36

Values from the calculation:
Crystal system: hexagonal

***

3.
First-principles (PBE-GGA) data for a relaxed MgGaNi2 crystal, as listed in OQMD via LeMat-Bulk.

Unit cell a=4.0301 b=4.0301 c=3.1978 alpha=90.00 beta=90.00 gamma=90.00
Last column: nearest neighbours and their distance in Å.
Space group P4/mmm (No. 123)
Unique sites:
Mg 0.0000 0.0000 0.0000  8 Ni 2.57, 4 Ga 2.85
Ga 0.5000 0.5000 0.0000  8 Ni 2.57, 4 Mg 2.85
Ni 0.0000 0.5000 0.5000  4 Mg 2.57, 4 Ga 2.57, 4 Ni 2.85

Values from the calculation:
Crystal system: tetragonal

***

Number 1: DFT total energy -4.1865 eV/atom. Number 2: DFT total energy -4.0099 eV/atom. Number 3: DFT total energy -4.2576 eV/atom.